# Li12GaCu7 (PBE, optimized geometry)
# - ΔH_f (0 K): -0.03 eV per atom
data_Li12GaCu7
_cell_length_a 10.5221
_cell_length_b 10.5221
_cell_length_c 9.0997
_cell_angle_alpha 90.00
_cell_angle_beta 90.00
_cell_angle_gamma 120.00
_space_group_name_H-M_alt 'R -3 m'
_space_group_IT_number 166
_space_group_name_Hall '-R 3 2"'
loop_
_atom_site_label
_atom_site_type_symbol
_atom_site_fract_x
_atom_site_fract_y
_atom_site_fract_z
_atom_site_occupancy
Li1 Li 0.0000 0.2671 0.0000 1
Li2 Li 0.0836 0.1673 0.7497 1
Ga1 Ga 0.0000 0.0000 0.5000 1
Cu1 Cu 0.0000 0.0000 0.0000 1
Cu2 Cu 0.0622 0.5311 0.1196 1